{
  "formula": "Ba3NaGa2Sn9",
  "functional": "GGA-PBE",
  "state": "relaxed",
  "dos_at_fermi_per_ev_cell": 7.26,
  "vol_a3_per_atom": 34.9,
  "space_group": "P-3m1 (164)",
  "formation_energy_ev_per_atom": -0.1709,
  "final_energy_ha_per_atom": -0.1267,
  "lattice": [[7.328, 0.000, 0.000], [-3.664, 6.346, 0.000], [0.000, 0.000, 11.253]],
  "species": ["Ba", "Ba", "Ba", "Na", "Ga", "Ga", "Sn", "Sn", "Sn", "Sn", "Sn", "Sn", "Sn", "Sn", "Sn"],
  "fractional_positions": [[0.000, 0.000, 0.000], [0.333, 0.667, 0.701], [0.667, 0.333, 0.299], [0.000, 0.000, 0.500], [0.333, 0.667, 0.167], [0.667, 0.333, 0.833], [0.000, 0.500, 0.000], [0.199, 0.399, 0.374], [0.199, 0.801, 0.374], [0.399, 0.199, 0.626], [0.500, 0.000, 0.000], [0.500, 0.500, 0.000], [0.601, 0.801, 0.374], [0.801, 0.199, 0.626], [0.801, 0.601, 0.626]]
}